[1]
Li2AlTc: relaxed, PBE-GGA. Values from VASP.

Structure (Quantum ESPRESSO input):
```
&SYSTEM
  ibrav = 0, nat = 4, ntyp = 3
/
ATOMIC_SPECIES
Al 26.98 Al.upf
Li 6.94 Li.upf
Tc 98.00 Tc.upf
ATOMIC_POSITIONS angstrom
Al 2.1876 0.0000 1.7981
Li 0.0000 0.0000 0.0000
Li 0.0000 1.7981 1.7981
Tc 2.1876 1.7981 0.0000
CELL_PARAMETERS angstrom
4.3753 0.0000 0.0000
0.0000 3.5961 0.0000
0.0000 0.0000 3.5961
```

Results
Total magnetic moment: 0.00 μB per atom
SG: P4/mmm, No. 123
Formation energy from the elements: -0.01 eV/atom
Total DFT energy (no corrections): -17.977 eV/f.u.



[2]
Ag4HgGe2S7: relaxed, PBE-GGA. Values from VASP.

Structure (Quantum ESPRESSO input):
```
&SYSTEM
  ibrav = 0, nat = 28, ntyp = 4
/
ATOMIC_SPECIES
Ag 107.87 Ag.upf
Hg 200.59 Hg.upf
Ge 72.64 Ge.upf
S 32.06 S.upf
ATOMIC_POSITIONS angstrom
Ag -1.1851 8.8910 -2.1139
Ag -2.2891 9.5277 4.7463
Ag 0.3046 8.8574 1.8893
Ag 0.8276 9.9603 7.6350
Ag -0.1307 5.4815 -0.4366
Ag 0.1466 6.5140 5.4775
Ag -2.7095 13.3808 3.1254
Ag 1.1202 15.4311 6.6061
Hg -0.6769 12.3351 0.0387
Hg -1.8073 12.9642 6.9170
Ge -3.5327 9.8506 1.1302
Ge 0.9004 12.0738 4.1976
Ge -2.7439 6.3521 2.7236
Ge 3.3717 9.0573 4.6386
S 2.0305 10.3381 3.1381
S -4.1541 7.6131 1.2704
S -4.2468 14.6349 1.5248
S -0.3119 16.7153 4.9335
S -1.9066 4.7214 1.3815
S 2.5466 6.9504 4.4351
S -5.0219 10.7858 -0.2585
S -0.2407 13.1088 2.5705
S -3.7072 10.8792 3.1232
S 2.3309 13.5622 5.0912
S -0.4534 11.1227 5.7282
S -1.4381 9.8875 0.2988
S -1.1453 7.6065 3.5821
S 3.2041 9.8057 6.7069
CELL_PARAMETERS angstrom
-0.2194 9.1281 -2.7950
-5.7767 7.5358 1.0116
5.0384 3.3496 8.7568
```

Results
Total magnetic moment: 0.00 μB per atom
SG: Cc, No. 9
Raw formation energy: -0.2149 eV/atom
Total DFT energy (no corrections): -52.842 eV/f.u.



[3]
TaTl2In: relaxed, PBE-GGA. Values from VASP.

Structure (Quantum ESPRESSO input):
```
&SYSTEM
  ibrav = 0, nat = 4, ntyp = 3
/
ATOMIC_SPECIES
In 114.82 In.upf
Ta 180.95 Ta.upf
Tl 204.38 Tl.upf
ATOMIC_POSITIONS angstrom
In -0.9067 0.5710 -2.9723
Ta -3.1563 -0.0118 0.1411
Tl 0.0000 0.0000 0.0000
Tl -2.4806 -2.0503 -2.1762
CELL_PARAMETERS angstrom
-0.2310 -1.4676 -5.2896
-4.7303 -2.6331 0.9371
-1.5824 2.6096 -0.6549
```

Results
Total magnetic moment: 0.00 μB per atom
SG: P4/mmm, No. 123
Formation energy from the elements: 0.56 eV/atom
Total DFT energy (no corrections): -17.072 eV/f.u.
E above lowest polymorph: 197.2 meV/atom



[4]
Sm2ZrHg: relaxed, PBE-GGA. Values from VASP.

Structure (Quantum ESPRESSO input):
```
&SYSTEM
  ibrav = 0, nat = 4, ntyp = 3
/
ATOMIC_SPECIES
Zr 91.22 Zr.upf
Hg 200.59 Hg.upf
Sm 150.36 Sm.upf
ATOMIC_POSITIONS angstrom
Zr 1.7364 0.0000 0.0000
Hg 1.7364 2.7992 2.7992
Sm 0.0000 0.0000 2.7992
Sm 0.0000 2.7992 0.0000
CELL_PARAMETERS angstrom
3.4728 0.0000 0.0000
0.0000 5.5985 0.0000
0.0000 0.0000 5.5985
```

Results
Total magnetic moment: 0.00 μB per atom
SG: P4/mmm, No. 123
Formation energy from the elements: -0.07 eV/atom
Total DFT energy (no corrections): -18.571 eV/f.u.
E above lowest polymorph: 85.8 meV/atom



[5]
MnCu4Pt: relaxed, PBE-GGA. Values from VASP.

Structure (Quantum ESPRESSO input):
```
&SYSTEM
  ibrav = 0, nat = 6, ntyp = 3
/
ATOMIC_SPECIES
Mn 54.94 Mn.upf
Cu 63.55 Cu.upf
Pt 195.08 Pt.upf
ATOMIC_POSITIONS angstrom
Mn 0.0000 -0.0331 2.6356
Cu -0.0001 2.6437 -0.0075
Cu 1.8682 1.2794 3.9289
Cu -0.0001 2.5934 2.6023
Cu 1.8682 1.3296 1.3192
Pt 0.0000 0.0000 0.0000
CELL_PARAMETERS angstrom
3.7364 0.0001 0.0001
-1.8683 3.9892 -1.3498
-0.0001 -0.0662 5.2712
```

Results
Total magnetic moment: 0.71 μB per atom
SG: C2/m, No. 12
Formation energy from the elements: -0.08 eV/atom
Total DFT energy (no corrections): -32.067 eV/f.u.
E above lowest polymorph: 0.0 meV/atom



[6]
GePtPbO6: relaxed, PBE-GGA. Values from VASP.

Structure (Quantum ESPRESSO input):
```
&SYSTEM
  ibrav = 0, nat = 18, ntyp = 4
/
ATOMIC_SPECIES
Ge 72.64 Ge.upf
Pt 195.08 Pt.upf
Pb 207.20 Pb.upf
O 16.00 O.upf
ATOMIC_POSITIONS angstrom
Ge 2.5839 1.4918 2.3619
Ge 0.0000 2.9837 7.0856
Pt 0.0000 2.9837 2.3619
Pt 2.5839 1.4918 7.0856
Pb 0.0000 0.0000 0.0000
Pb 0.0000 0.0000 4.7237
O 1.6898 2.8138 1.2856
O 4.1758 1.6051 1.2856
O -0.6978 4.4189 6.0094
O -1.5919 2.8703 8.1619
O 0.9920 1.6051 3.4381
O 3.4780 2.8138 3.4381
O 0.6978 4.4189 8.1619
O 3.2817 0.0565 3.4381
O -0.8941 1.6617 6.0094
O 1.8861 0.0565 1.2856
O 1.5919 2.8703 6.0094
O 0.8941 1.6617 8.1619
CELL_PARAMETERS angstrom
5.1678 0.0000 0.0000
-2.5839 4.4755 0.0000
0.0000 0.0000 9.4475
```

Results
Total magnetic moment: 0.00 μB per atom
SG: P-31c, No. 163
Raw formation energy: -0.9876 eV/atom
Total DFT energy (no corrections): -53.004 eV/f.u.



[7]
BeFeSe: relaxed, PBE-GGA. Values from VASP.

Structure (Quantum ESPRESSO input):
```
&SYSTEM
  ibrav = 0, nat = 3, ntyp = 3
/
ATOMIC_SPECIES
Be 9.01 Be.upf
Fe 55.84 Fe.upf
Se 78.96 Se.upf
ATOMIC_POSITIONS angstrom
Be 0.0637 0.0913 0.1244
Fe -0.7403 0.7607 2.2129
Se 1.1577 0.5638 3.6053
CELL_PARAMETERS angstrom
-2.6874 0.8869 0.7242
1.1142 -2.4172 1.2037
2.0542 2.9461 4.0148
```

Results
Total magnetic moment: 0.41 μB per atom
SG: P3m1, No. 156
Raw formation energy: 0.2847 eV/atom
Total DFT energy (no corrections): -14.819 eV/f.u.
E above lowest polymorph: 157.7 meV/atom



[8]
Li2PmSn2Pb: relaxed, PBE-GGA. Values from VASP.

Structure (Quantum ESPRESSO input):
```
&SYSTEM
  ibrav = 0, nat = 6, ntyp = 4
/
ATOMIC_SPECIES
Li 6.94 Li.upf
Pm 145.00 Pm.upf
Sn 118.71 Sn.upf
Pb 207.20 Pb.upf
ATOMIC_POSITIONS angstrom
Li 0.0000 2.9073 5.2722
Li 2.5178 1.4536 1.3926
Pm 0.0000 0.0000 3.3324
Sn 0.0000 2.9073 1.9099
Sn 2.5178 1.4536 4.7549
Pb 0.0000 0.0000 0.0000
CELL_PARAMETERS angstrom
5.0355 0.0000 0.0000
-2.5178 4.3609 0.0000
0.0000 0.0000 6.6648
```

Results
Total magnetic moment: 0.00 μB per atom
SG: P-3m1, No. 164
Formation energy from the elements: -0.44 eV/atom
Total DFT energy (no corrections): -22.914 eV/f.u.



[9]
CuSi2Te6: relaxed, PBE-GGA. Values from VASP.

Structure (Quantum ESPRESSO input):
```
&SYSTEM
  ibrav = 0, nat = 18, ntyp = 3
/
ATOMIC_SPECIES
Cu 63.55 Cu.upf
Si 28.09 Si.upf
Te 127.60 Te.upf
ATOMIC_POSITIONS angstrom
Cu -3.9700 -0.3585 7.4143
Cu -2.5551 -9.1704 3.3166
Si -1.8392 -4.1791 8.2457
Si -2.5991 -2.2620 3.6293
Si -4.6859 -5.3498 2.4853
Si -3.9260 -7.2670 7.1016
Te -1.8127 -5.9754 6.3726
Te -0.5530 -3.8537 3.7542
Te -4.7124 -3.5535 4.3584
Te -5.9721 -5.6753 6.9768
Te -4.2223 -9.1559 5.4316
Te -2.4733 -6.5934 2.5389
Te -2.3028 -0.3730 5.2993
Te -4.0518 -2.9356 8.1920
Te -1.6385 -5.2723 10.5655
Te -2.7857 -1.1918 1.2976
Te -4.8866 -4.2566 0.1654
Te -3.7394 -8.3371 9.4333
CELL_PARAMETERS angstrom
-5.9648 -3.2479 -0.7773
2.5391 -7.7490 3.3761
-3.0994 1.4679 8.1321
```

Results
Total magnetic moment: 0.00 μB per atom
SG: C2/c, No. 15
Raw formation energy: 0.0829 eV/atom
Total DFT energy (no corrections): -33.046 eV/f.u.



[10]
BeZnRe4: relaxed, PBE-GGA. Values from VASP.

Structure (Quantum ESPRESSO input):
```
&SYSTEM
  ibrav = 0, nat = 6, ntyp = 3
/
ATOMIC_SPECIES
Be 9.01 Be.upf
Zn 65.41 Zn.upf
Re 186.21 Re.upf
ATOMIC_POSITIONS angstrom
Be 0.0000 0.0000 0.0000
Zn 1.8211 1.8211 1.8211
Re 2.7307 2.7307 4.5537
Re 2.7307 4.5537 2.7307
Re 4.5537 4.5537 4.5537
Re 4.5537 2.7307 2.7307
CELL_PARAMETERS angstrom
0.0000 3.6422 3.6422
3.6422 0.0000 3.6422
3.6422 3.6422 0.0000
```

Results
Total magnetic moment: 0.00 μB per atom
SG: F-43m, No. 216
Formation energy from the elements: 0.71 eV/atom
Total DFT energy (no corrections): -50.517 eV/f.u.



[11]
Zn2ReSe: relaxed, PBE-GGA. Values from VASP.

Structure (Quantum ESPRESSO input):
```
&SYSTEM
  ibrav = 0, nat = 4, ntyp = 3
/
ATOMIC_SPECIES
Re 186.21 Re.upf
Se 78.96 Se.upf
Zn 65.41 Zn.upf
ATOMIC_POSITIONS angstrom
Re 2.4632 0.7182 1.1090
Se 2.4632 2.1545 3.3270
Zn 0.0000 2.8797 0.0211
Zn 0.0000 1.4637 2.1723
CELL_PARAMETERS angstrom
4.9263 0.0000 0.0000
0.0000 2.9070 -0.0246
0.0000 -0.0342 4.4605
```

Results
Total magnetic moment: 0.00 μB per atom
SG: P2/m, No. 10
Raw formation energy: 0.5271 eV/atom
Total DFT energy (no corrections): -16.372 eV/f.u.
E above lowest polymorph: 334.5 meV/atom



[12]
Sc2NiBr: relaxed, PBE-GGA. Values from VASP.

Structure (Quantum ESPRESSO input):
```
&SYSTEM
  ibrav = 0, nat = 4, ntyp = 3
/
ATOMIC_SPECIES
Br 79.90 Br.upf
Ni 58.69 Ni.upf
Sc 44.96 Sc.upf
ATOMIC_POSITIONS angstrom
Br 1.8343 1.0501 1.7931
Ni 5.5030 3.1503 5.3794
Sc 1.8263 1.0455 6.7778
Sc 3.6676 2.0996 3.9673
CELL_PARAMETERS angstrom
3.6672 -0.0139 0.0068
1.8449 3.1694 0.0068
1.8253 1.0449 7.1588
```

Results
Total magnetic moment: 0.00 μB per atom
SG: R-3m, No. 166
Raw formation energy: -0.7076 eV/atom
Total DFT energy (no corrections): -22.948 eV/f.u.
E above lowest polymorph: 0.0 meV/atom